First-principles (GGA+U) data for a relaxed LiMnFeF6 crystal, as listed in Alexandria via LeMat-Bulk.

The space group is P321 (No. 150) and the conventional cell measures 8.8323, 8.8323 and 4.7231 Å, with angles of 90.00, 90.00 and 120.00 degrees. Symmetry generates all atoms from Li at (0.0000, 0.0000, 0.0000), Li at (0.3333, 0.6667, 0.5047), Mn at (0.0000, 0.3534, 0.0000), Fe at (0.0000, 0.6864, 0.5000), F at (0.1084, 0.5765, 0.7288), F at (0.1075, 0.8860, 0.7569) and F at (0.2160, 0.7782, 0.2780).

Its excess energy over the best structure of this formula in the dataset is 0.1 meV per atom. As for the magnetic moment: 10.0 μB/f.u. The calculated volume comes out at 11.82 Å³/atom. The calculation puts the theoretical density at 3.618 g/cm3.